Below is a relaxed structure of Li5CaZn, with properties calculated at the PBE level.

CIF file:
```
data_Li5CaZn
_cell_length_a 3.9815
_cell_length_b 3.9815
_cell_length_c 9.7779
_cell_angle_alpha 90.00
_cell_angle_beta 90.00
_cell_angle_gamma 90.00
_symmetry_space_group_name_H-M 'P 1'
_symmetry_Int_Tables_number 1
_symmetry_space_group_name_Hall 'P 1'
loop_
_atom_site_label
_atom_site_fract_x
_atom_site_fract_y
_atom_site_fract_z
Li1 0.0000 0.5000 0.2108
Li2 0.0000 0.5000 0.7892
Li3 0.5000 0.0000 0.2108
Li4 0.5000 0.0000 0.7892
Li5 0.0000 0.0000 0.0000
Ca1 0.0000 0.0000 0.5000
Zn1 0.5000 0.5000 0.0000
```

**Space-group type**: No. 123
**Total magnetic moment**: 0.000 μB per atom
**Energy of formation from the pure elements**: 0 kJ/mol of formula units
**Fermi-level density of states**: 0.527 states/eV/atom